# CrTcAg2

A relaxed structure of CrTcAg2 (PBE-GGA, Alexandria via LeMat-Bulk).

Summary:
Its distance to the lowest polymorph of the same formula is 346 meV per atom. As for the total energy: -0.4229 Ry per atom. The total moment comes out at 0.96 μB per atom. For the formation energy, the calculation gives 258 kJ/mol of formula units. As for the symmetry: R-3m (166).

Unit cell a=9.604 b=9.604 c=9.604 alpha=16.79 beta=16.79 gamma=16.79
Each line ends with the local moment (μB).
Fractional positions:
Ag: 0.999 0.999 0.999  0.05
Ag: 0.501 0.501 0.501  0.05
Cr: 0.250 0.250 0.250  3.00
Tc: 0.750 0.750 0.750  0.41